First-principles (PBE) data for a relaxed Dy4O crystal, as listed in the Alexandria database.

Cell: 4.933 4.933 4.933 Å, 90.00 90.00 90.00°
Element x y z (fractional)
Dy  0.000  0.000  0.000
O  0.500  0.500  0.500
Dy  0.500  0.500  0.000
Dy  0.500  0.000  0.500
Dy  0.000  0.500  0.500

Computed properties:
DOS(E_F)	4.792	states/eV/cell
symmetry	Pm-3m
spin magnetization	0.00	μB/f.u.
V	24.01	Å³/atom
calculated total energy	-5.775	eV/atom